Entry 1:
A relaxed Mn3Pt5 crystal. Source: Alexandria via LeMat-Bulk, functional PBE.

Crystal system = orthorhombic
Energy of formation = -0.120 eV/atom

Lattice parameters (Å, degrees): 7.469 7.469 5.199 90.00 90.00 60.04
Fractional positions:
Mn (0.094, 0.500, 0.250)
Mn (0.095, 0.905, 0.750)
Mn (0.500, 0.094, 0.750)
Mn (0.500, 0.906, 0.250)
Mn (0.905, 0.095, 0.250)
Mn (0.906, 0.500, 0.750)
Pt (0.167, 0.167, 0.000)
Pt (0.167, 0.167, 0.500)
Pt (0.274, 0.500, 0.750)
Pt (0.274, 0.726, 0.250)
Pt (0.500, 0.274, 0.250)
Pt (0.500, 0.726, 0.750)
Pt (0.726, 0.274, 0.750)
Pt (0.726, 0.500, 0.250)
Pt (0.833, 0.833, 0.000)
Pt (0.833, 0.833, 0.500)


Entry 2:
A relaxed KSc2Al crystal. Source: Alexandria via LeMat-Bulk, functional PBE.

Crystal system = monoclinic
Energy of formation = 0.484 eV/atom

Lattice parameters (Å, degrees): 6.475 6.475 3.077 101.76 101.76 117.95
Fractional positions:
K (0.000, 0.000, 0.000)
Sc (0.000, 0.500, 0.500)
Sc (0.500, 0.000, 0.500)
Al (0.500, 0.500, 0.000)


Entry 3:
A relaxed PrY6Te8 crystal. Source: Alexandria via LeMat-Bulk, functional PBE.

Formation energy (no corrections) = -1.26 eV per atom
Crystal system = trigonal
E above lowest polymorph = 136 meV/atom

Lattice parameters (Å, degrees): 8.208 8.208 8.208 69.43 69.43 69.43
Fractional positions:
Pr (0.000, 0.000, 0.000)
Y (0.080, 0.451, 0.693)
Y (0.307, 0.920, 0.549)
Y (0.451, 0.693, 0.080)
Y (0.549, 0.307, 0.920)
Y (0.693, 0.080, 0.451)
Y (0.920, 0.549, 0.307)
Te (0.101, 0.807, 0.374)
Te (0.193, 0.626, 0.899)
Te (0.324, 0.324, 0.324)
Te (0.374, 0.101, 0.807)
Te (0.626, 0.899, 0.193)
Te (0.676, 0.676, 0.676)
Te (0.807, 0.374, 0.101)
Te (0.899, 0.193, 0.626)


Entry 4:
A relaxed BaRh3Se crystal. Source: Alexandria via LeMat-Bulk, functional PBE.

Formation energy (no corrections) = 1.81 eV per atom
Crystal system = cubic
E above lowest polymorph = 1873 meV/atom

Lattice parameters (Å, degrees): 5.102 5.102 5.102 90.00 90.00 90.00
Fractional positions:
Ba (0.000, 0.000, 0.000)
Rh (0.000, 0.000, 0.500)
Rh (0.000, 0.500, 0.000)
Rh (0.500, 0.000, 0.000)
Se (0.500, 0.500, 0.500)


Entry 5:
A relaxed Zr2CrRhN crystal. Source: Alexandria via LeMat-Bulk, functional PBE.

Formation energy (no corrections) = -0.83 eV per atom
Crystal system = tetragonal

Lattice parameters (Å, degrees): 4.555 4.555 3.667 90.00 90.00 90.00
Fractional positions:
Zr (0.000, 0.500, 0.000)
Zr (0.500, 0.000, 0.000)
Cr (0.000, 0.000, 0.500)
Rh (0.500, 0.500, 0.500)
N (0.000, 0.000, 0.000)


Entry 6:
A relaxed Be2IrPb crystal. Source: Alexandria via LeMat-Bulk, functional PBE.

Crystal system = monoclinic
Energy of formation = -0.015 eV/atom

Lattice parameters (Å, degrees): 2.981 2.964 7.254 90.00 101.51 90.00
Fractional positions:
Be (0.072, 0.000, 0.157)
Be (0.928, 0.000, 0.843)
Ir (0.500, 0.500, 0.000)
Pb (0.000, 0.500, 0.500)


Entry 7:
A relaxed ZrTlCo2H crystal. Source: Alexandria via LeMat-Bulk, functional PBE.

Crystal system = tetragonal

Lattice parameters (Å, degrees): 4.109 4.109 3.960 90.00 90.00 90.00
Fractional positions:
Zr (0.000, 0.000, 0.000)
Tl (0.500, 0.500, 0.000)
Co (0.000, 0.500, 0.500)
Co (0.500, 0.000, 0.500)
H (0.000, 0.000, 0.500)


Entry 8:
A relaxed Ta3InP crystal. Source: Alexandria via LeMat-Bulk, functional PBE.

Crystal system = cubic
E above lowest polymorph = 0 meV/atom
Energy of formation = 0.354 eV/atom

Lattice parameters (Å, degrees): 4.636 4.636 4.636 90.00 90.00 90.00
Fractional positions:
Ta (0.000, 0.000, 0.500)
Ta (0.000, 0.500, 0.000)
Ta (0.500, 0.000, 0.000)
In (0.500, 0.500, 0.500)
P (0.000, 0.000, 0.000)


no.,E_tot (eV/atom)
1,-7.3340
2,-3.8919
3,-5.8390
4,-3.6831
5,-9.3111
6,-5.0200
7,-5.5791
8,-8.3872